No. 1
VASP calculation (GGA-PBE) on Tb5Hg2Ir after structural relaxation.

Calculated values
**E**: -4.5982 eV/atom
**Formation energy from the elements**: -0.5212 eV per atom
**DOS at the Fermi energy**: 13.3 states/eV/cell

a = 7.163 Å, b = 12.200 Å, c = 4.892 Å
α = 90.00°, β = 90.00°, γ = 90.00°
Element x y z (fractional)
Tb (0.000, 0.000, 0.000)
Tb (0.142, 0.293, 0.000)
Tb (0.175, 0.584, 0.500)
Tb (0.325, 0.084, 0.500)
Tb (0.358, 0.793, 0.000)
Tb (0.500, 0.500, 0.000)
Tb (0.642, 0.207, 0.000)
Tb (0.675, 0.916, 0.500)
Tb (0.825, 0.416, 0.500)
Tb (0.858, 0.707, 0.000)
Hg (0.082, 0.838, 0.500)
Hg (0.418, 0.338, 0.500)
Hg (0.582, 0.662, 0.500)
Hg (0.918, 0.162, 0.500)
Ir (0.000, 0.500, 0.000)
Ir (0.500, 0.000, 0.000)

***

No. 2
VASP calculation (GGA-PBE) on SmSbH after structural relaxation.

Calculated values
**E**: -4.7214 eV/atom
**DOS at the Fermi energy**: 0.1 states/eV/cell

a = 5.936 Å, b = 5.936 Å, c = 5.936 Å
α = 137.19°, β = 94.27°, γ = 101.06°
Element x y z (fractional)
Sm (0.000, 0.000, 0.000)
Sm (0.513, 0.013, 0.500)
Sb (0.093, 0.338, 0.755)
Sb (0.583, 0.338, 0.245)
H (0.624, 0.675, 0.949)
H (0.726, 0.675, 0.051)

***

Calculated density for the records above, in order: 10.8; 6.9 g/cm3